Arrangement i

Here is crystalline KFeIO2 at its relaxed geometry from Alexandria. Energies are from GGA+U.

## Properties
**V**: 29.34 Å³/atom
**Symmetry**: No. 123
**Crystal system**: tetragonal

Cell lengths 4.617, 4.617, 6.883 Å; angles 90.00, 90.00, 90.00 degrees
Sites, in units of the cell vectors:
1 I 0.000 0.000 0.500
2 K 0.000 0.000 0.000
3 Fe 0.500 0.500 0.500
4 O 0.000 0.500 0.000
5 O 0.500 0.000 0.000

Arrangement ii

Here is crystalline KFeIO2 at its relaxed geometry from Alexandria. Energies are from GGA+U.

## Properties
**V**: 20.34 Å³/atom
**Symmetry**: No. 123
**Crystal system**: tetragonal

Cell lengths 4.182, 4.182, 5.814 Å; angles 90.00, 90.00, 90.00 degrees
Sites, in units of the cell vectors:
1 I 0.000 0.000 0.500
2 K 0.500 0.500 0.500
3 Fe 0.000 0.000 0.000
4 O 0.000 0.500 0.000
5 O 0.500 0.000 0.000

Sorted by energy, starting with the most stable: arrangement ii, arrangement i.